! InMo2H SCAN single point on PBEsol structure; values from VASP
! - calculated volume (Å³/atom) = 14.6
! - total magnetization (μB/cell) = 1.30
! - E_tot (eV per cell) = -101.5
&SYSTEM
  ibrav = 0, nat = 4, ntyp = 3
/
ATOMIC_SPECIES
In 114.82 In.upf
Mo 95.94 Mo.upf
H 1.01 H.upf
CELL_PARAMETERS angstrom
0.000 3.081 3.081
3.081 0.000 3.081
3.081 3.081 0.000
ATOMIC_POSITIONS crystal
In 0.000 0.000 0.000
Mo 0.250 0.250 0.250
Mo 0.750 0.750 0.750
H 0.500 0.500 0.500